A relaxed structure of BeNiO, computed with GGA+U.

abc: 4.614 2.664 9.241
angles: 90.00 99.64 90.00
Fractional coordinates of all 12 atoms:
Be  0.000  0.000  0.000
Be  0.084  0.500  0.753
Be  0.500  0.500  0.000
Be  0.584  0.000  0.753
Ni  0.327  0.500  0.480
Ni  0.420  0.000  0.259
Ni  0.827  0.000  0.480
Ni  0.920  0.500  0.259
O  0.150  0.500  0.951
O  0.402  0.500  0.708
O  0.650  0.000  0.951
O  0.902  0.000  0.708

## Properties
Its calculated total energy is -5.03 eV per atom. The space-group type is Cm.